Material: Si4MoW
Method: DFT, SCAN
State: PBEsol geometry

POSCAR file:
```
Si4MoW
1.0
-1.6524 0.5105 -2.6881
-1.2641 -2.9274 0.2211
-5.9317 2.8780 4.1929
Mo Si W
1 4 1
Direct
0.0000 0.0000 0.0000 Mo
0.5000 0.5000 0.1645 Si
0.0000 0.0000 0.6658 Si
0.0000 0.0000 0.3342 Si
0.5000 0.5000 0.8356 Si
0.5000 0.5000 0.5000 W
```

* symmetry: P4/mmm, No. 123
* ρ: 8.157 g cm⁻³
* formation energy from raw total energies: -0.374 eV per atom


Material: Si2MoW
Method: DFT, SCAN
State: PBEsol geometry

POSCAR file:
```
Si2MoW
1.0
2.8966 0.0000 0.0000
1.4483 2.5086 0.0000
1.4483 0.8362 8.0956
Mo Si W
1 2 1
Direct
0.2527 0.2527 0.2418 Mo
0.9990 0.9990 0.0031 Si
0.7504 0.7504 0.7489 Si
0.4979 0.4979 0.5062 W
```

* symmetry: R3m, No. 160
* ρ: 9.483 g cm⁻³
* formation energy from raw total energies: 0.166 eV per atom
* excess energy over the best structure of this formula in the dataset: 452 meV per atom


Material: Si2MoW
Method: DFT, SCAN
State: PBEsol geometry

POSCAR file:
```
Si2MoW
1.0
-0.1626 -3.3458 1.7060
1.0240 -1.6824 -3.2019
3.3703 2.8573 1.7832
Mo Si W
1 2 1
Direct
0.2500 0.7500 0.5000 Mo
0.0000 0.0000 0.0000 Si
0.7500 0.2500 0.5000 Si
0.5000 0.5000 0.0000 W
```

* symmetry: I-4m2, No. 119
* ρ: 9.983 g cm⁻³
* formation energy from raw total energies: 0.126 eV per atom
* excess energy over the best structure of this formula in the dataset: 412 meV per atom


Material: Si2MoW
Method: DFT, SCAN
State: PBEsol geometry

POSCAR file:
```
Si2MoW
1.0
3.1577 0.0000 0.0000
0.0000 3.1577 0.0000
0.0000 0.0000 5.5424
Mo Si W
1 2 1
Direct
0.5000 0.5000 0.7746 Mo
0.0000 0.0000 0.9989 Si
0.5000 0.5000 0.2494 Si
0.0000 0.0000 0.4770 W
```

* symmetry: P4mm, No. 99
* ρ: 10.095 g cm⁻³
* formation energy from raw total energies: -0.286 eV per atom
* excess energy over the best structure of this formula in the dataset: 0 meV per atom


Material: Si2MoW
Method: DFT, SCAN
State: PBEsol geometry

POSCAR file:
```
Si2MoW
1.0
-1.4956 0.5163 2.1864
1.2398 -2.3550 0.4479
6.4442 4.0491 3.4517
Mo Si W
1 2 1
Direct
0.5000 0.5000 0.2423 Mo
0.0000 0.0000 0.0036 Si
0.5000 0.5000 0.7474 Si
0.0000 0.0000 0.5067 W
```

* symmetry: Cmm2, No. 35
* ρ: 9.568 g cm⁻³
* formation energy from raw total energies: 0.245 eV per atom
* excess energy over the best structure of this formula in the dataset: 531 meV per atom


Material: SiMo2W
Method: DFT, SCAN
State: PBEsol geometry

POSCAR file:
```
SiMo2W
1.0
2.7111 0.0000 -0.0129
0.0000 4.3293 0.0000
-1.3639 0.0000 5.0179
Mo Si W
2 1 1
Direct
0.0039 0.0000 0.0000 Mo
0.4886 0.5000 0.2573 Mo
0.9883 0.0000 0.4982 Si
0.5192 0.5000 0.7446 W
```

* symmetry: Pm, No. 6
* ρ: 11.400 g cm⁻³
* formation energy from raw total energies: 0.033 eV per atom


Material: SiMoW2
Method: DFT, SCAN
State: PBEsol geometry

POSCAR file:
```
SiMoW2
1.0
-1.3869 2.7235 0.8179
-2.8996 -2.1910 2.3790
3.0113 0.6114 3.0703
Mo Si W
1 1 2
Direct
0.5000 0.0000 0.0000 Mo
0.5000 0.5000 0.5000 Si
0.0000 0.5000 0.0000 W
0.0000 0.0000 0.5000 W
```

* symmetry: Cmmm, No. 65
* ρ: 13.827 g cm⁻³
* formation energy from raw total energies: 0.188 eV per atom
* excess energy over the best structure of this formula in the dataset: 196 meV per atom


Material: Si2MoW
Method: DFT, SCAN
State: PBEsol geometry

POSCAR file:
```
Si2MoW
1.0
-0.5688 -0.5461 -2.5558
1.9037 -3.6622 1.7584
-4.9838 -0.5563 1.2280
Mo Si W
1 2 1
Direct
0.5000 0.0000 0.0000 Mo
0.7504 0.5009 0.7501 Si
0.2496 0.4991 0.2499 Si
0.0000 0.0000 0.5000 W
```

* symmetry: C2/m, No. 12
* ρ: 9.716 g cm⁻³
* formation energy from raw total energies: 0.143 eV per atom
* excess energy over the best structure of this formula in the dataset: 429 meV per atom


Material: SiMoW2
Method: DFT, SCAN
State: PBEsol geometry

POSCAR file:
```
SiMoW2
1.0
3.1465 0.0000 0.0000
0.0000 4.2580 0.0000
-1.5732 -2.1290 4.3765
Mo Si W
1 1 2
Direct
0.0000 0.5000 0.0000 Mo
0.5000 0.0000 0.0000 Si
0.7480 0.7480 0.4961 W
0.2520 0.2520 0.5039 W
```

* symmetry: Immm, No. 71
* ρ: 13.925 g cm⁻³
* formation energy from raw total energies: -0.008 eV per atom
* excess energy over the best structure of this formula in the dataset: 0 meV per atom


Material: SiMoW2
Method: DFT, SCAN
State: PBEsol geometry

POSCAR file:
```
SiMoW2
1.0
-0.5112 -0.4074 -2.6562
-1.1348 -3.9701 0.8273
-4.9055 1.5493 0.7064
Mo Si W
1 1 2
Direct
0.0000 0.0000 0.5108 Mo
0.5000 0.5000 0.7476 Si
0.0000 0.0000 0.9927 W
0.5000 0.5000 0.2488 W
```

* symmetry: Pmm2, No. 25
* ρ: 13.650 g cm⁻³
* formation energy from raw total energies: 0.178 eV per atom
* excess energy over the best structure of this formula in the dataset: 186 meV per atom


Material: Y2Si4Mo3
Method: DFT, SCAN
State: PBEsol geometry

POSCAR file:
```
Y2Si4Mo3
1.0
-4.1330 0.2915 -5.2592
2.1184 -6.4071 0.7915
-5.3315 -1.2537 4.1203
Y Si Mo
4 8 6
Direct
0.9384 0.8098 0.8306 Y
0.4384 0.8098 0.6694 Y
0.0616 0.1902 0.1694 Y
0.5616 0.1902 0.3306 Y
0.1320 0.9100 0.4553 Si
0.6284 0.4959 0.6317 Si
0.8716 0.5041 0.1317 Si
0.3680 0.0900 0.9553 Si
0.1284 0.4959 0.8683 Si
0.3716 0.5041 0.3683 Si
0.6320 0.9100 0.0447 Si
0.8680 0.0900 0.5447 Si
0.2514 0.7496 0.1629 Mo
0.2486 0.2504 0.6629 Mo
0.7486 0.2504 0.8371 Mo
0.7514 0.7496 0.3371 Mo
0.0000 0.5000 0.5000 Mo
0.5000 0.5000 0.0000 Mo
```

* symmetry: P2_1/c, No. 14
* ρ: 6.510 g cm⁻³
* formation energy from raw total energies: -0.664 eV per atom


Material: YSi2Mo
Method: DFT, SCAN
State: PBEsol geometry

POSCAR file:
```
YSi2Mo
1.0
3.2051 0.0000 0.0000
0.0000 3.2051 0.0000
0.0000 0.0000 6.5572
Mo Si Y
1 2 1
Direct
0.5000 0.5000 0.0000 Mo
0.0000 0.0000 0.1923 Si
0.0000 0.0000 0.8077 Si
0.5000 0.5000 0.5000 Y
```

* symmetry: P4/mmm, No. 123
* ρ: 5.941 g cm⁻³
* formation energy from raw total energies: -0.354 eV per atom
* excess energy over the best structure of this formula in the dataset: 0 meV per atom


Material: YSi2Mo
Method: DFT, SCAN
State: PBEsol geometry

POSCAR file:
```
YSi2Mo
1.0
-0.9087 4.2702 -1.2228
-2.3948 2.6868 2.7572
2.0304 3.4490 2.1303
Mo Si Y
1 2 1
Direct
0.5000 0.5000 0.5000 Mo
0.0000 0.0000 0.0000 Si
0.7500 0.7500 0.7500 Si
0.2500 0.2500 0.2500 Y
```

* symmetry: F-43m, No. 216
* ρ: 6.073 g cm⁻³
* formation energy from raw total energies: 0.379 eV per atom
* excess energy over the best structure of this formula in the dataset: 734 meV per atom


Material: YSi2Mo
Method: DFT, SCAN
State: PBEsol geometry

POSCAR file:
```
YSi2Mo
1.0
-3.0372 1.8586 -1.6127
-2.2241 -3.1695 0.5358
1.4381 2.1663 4.5253
Mo Si Y
1 2 1
Direct
0.2500 0.7500 0.5000 Mo
0.0000 0.0000 0.0000 Si
0.7500 0.2500 0.5000 Si
0.5000 0.5000 0.0000 Y
```

* symmetry: I-4m2, No. 119
* ρ: 5.916 g cm⁻³
* formation energy from raw total energies: 0.071 eV per atom
* excess energy over the best structure of this formula in the dataset: 425 meV per atom


Material: YSi2Mo
Method: DFT, SCAN
State: PBEsol geometry

POSCAR file:
```
YSi2Mo
1.0
-2.5266 1.1521 2.4372
-1.8461 -3.6142 -0.2054
2.5536 -1.4949 3.3540
Mo Si Y
1 2 1
Direct
0.0000 0.5000 0.5000 Mo
0.0000 0.0000 0.0000 Si
0.5000 0.0000 0.5000 Si
0.5000 0.5000 0.0000 Y
```

* symmetry: Pmmm, No. 47
* ρ: 5.960 g cm⁻³
* formation energy from raw total energies: 0.025 eV per atom
* excess energy over the best structure of this formula in the dataset: 380 meV per atom


Material: Y2SiMo
Method: DFT, SCAN
State: PBEsol geometry

POSCAR file:
```
Y2SiMo
1.0
-1.5372 1.9216 2.3125
0.5252 -2.3857 2.3315
6.7490 3.2396 1.7944
Mo Si Y
1 1 2
Direct
0.0000 0.0000 0.5696 Mo
0.5000 0.5000 0.6914 Si
0.0000 0.0000 0.9267 Y
0.5000 0.5000 0.3123 Y
```

* symmetry: P4mm, No. 99
* ρ: 5.709 g cm⁻³
* formation energy from raw total energies: -0.168 eV per atom


Material: ZrSiMo
Method: DFT, SCAN
State: PBEsol geometry

POSCAR file:
```
ZrSiMo
1.0
-1.9802 -0.1213 -2.8696
2.3858 -6.3681 -1.3771
-6.1078 -3.2292 4.3513
Mo Si Zr
4 4 4
Direct
0.2500 0.6302 0.5611 Mo
0.7500 0.3698 0.4389 Mo
0.2500 0.1302 0.9389 Mo
0.7500 0.8698 0.0611 Mo
0.7500 0.7438 0.3622 Si
0.2500 0.2562 0.6378 Si
0.7500 0.2438 0.1378 Si
0.2500 0.7562 0.8622 Si
0.7500 0.9566 0.6673 Zr
0.2500 0.0434 0.3327 Zr
0.7500 0.4566 0.8327 Zr
0.2500 0.5434 0.1673 Zr
```

* symmetry: Pnma, No. 62
* ρ: 7.234 g cm⁻³
* formation energy from raw total energies: -0.747 eV per atom


Material: ZrSiMo
Method: DFT, SCAN
State: PBEsol geometry

POSCAR file:
```
ZrSiMo
1.0
3.3220 0.0000 0.0000
0.0000 3.3220 0.0000
-1.6610 -1.6610 4.5010
Mo Si Zr
1 1 1
Direct
0.0194 0.0194 0.0388 Mo
0.6466 0.6466 0.2932 Si
0.3340 0.3340 0.6680 Zr
```

* symmetry: I4mm, No. 107
* ρ: 7.196 g cm⁻³
* formation energy from raw total energies: -0.343 eV per atom


Material: Zr2Si2Mo
Method: DFT, SCAN
State: PBEsol geometry

POSCAR file:
```
Zr2Si2Mo
1.0
3.7579 0.0000 0.0000
0.0000 6.6665 0.0000
0.0000 0.0000 6.6665
Mo Si Zr
2 4 4
Direct
0.0000 0.0000 0.0000 Mo
0.0000 0.5000 0.5000 Mo
0.0000 0.3721 0.8721 Si
0.0000 0.8721 0.6279 Si
0.0000 0.6279 0.1279 Si
0.0000 0.1279 0.3721 Si
0.5000 0.1747 0.6747 Zr
0.5000 0.6747 0.8253 Zr
0.5000 0.8253 0.3253 Zr
0.5000 0.3253 0.1747 Zr
```

* symmetry: P4/mbm, No. 127
* ρ: 6.653 g cm⁻³
* formation energy from raw total energies: -0.825 eV per atom


Material: Sr2SnMo2
Method: DFT, SCAN
State: PBEsol geometry

POSCAR file:
```
Sr2SnMo2
1.0
-0.9778 3.9489 2.3515
-4.0121 0.4393 -2.4060
-0.6725 -5.7382 4.6619
Sr Mo Sn
2 2 1
Direct
0.2500 0.7500 0.5000 Sr
0.7500 0.2500 0.5000 Sr
0.4258 0.4258 0.8516 Mo
0.5742 0.5742 0.1484 Mo
0.0000 0.0000 0.0000 Sn
```

* symmetry: I4/mmm, No. 139
* ρ: 5.504 g cm⁻³
* ΔH_f (0 K): 5.9 eV per formula unit


The records above yield DOS(E_F) values of 0.340 1.709 2.403 0.931 1.775 1.832 2.620 2.470 2.617 2.095 3.277 1.984 2.579 2.641 2.290 3.312 1.177 1.717 1.611 6.322 states/eV/f.u., respectively.